{
  "formula": "Cd2Sn2Pd3",
  "functional": "PBE",
  "state": "optimized geometry",
  "cell": [[4.4145, 0.0079, -1.2435], [-2.3726, 3.9326, -0.0058], [-0.1614, -0.1044, 8.0216]],
  "species": ["Pd", "Pd", "Cd", "Sn", "Sn", "Cd", "Pd"],
  "frac_coords": [[0.0000, 0.0000, 0.0000], [0.5201, 0.2577, 0.7740], [0.7350, 0.8655, 0.5997], [0.2344, 0.6170, 0.8478], [0.7656, 0.3830, 0.1522], [0.2650, 0.1345, 0.4003], [0.4799, 0.7423, 0.2260]],
  "magmom_total_mub_per_fu": 0.0
}

---

{
  "formula": "CdSn2Pd3",
  "functional": "PBE",
  "state": "optimized geometry",
  "cell": [[-3.1846, -0.9872, -0.4401], [1.0732, -2.7251, -1.6528], [0.3732, -4.9516, 8.4062]],
  "species": ["Pd", "Pd", "Cd", "Pd", "Sn", "Sn"],
  "frac_coords": [[0.0000, 0.0000, 0.3279], [0.0000, 0.0000, 0.6721], [0.5000, 0.5000, 0.5000], [0.0000, 0.0000, 0.0000], [0.5000, 0.5000, 0.8283], [0.5000, 0.5000, 0.1717]],
  "magmom_total_mub_per_fu": 0.0
}

---

{
  "formula": "CdSn2Pd",
  "functional": "PBE",
  "state": "optimized geometry",
  "cell": [[-2.2200, 3.3446, -1.2255], [-0.7839, -4.0288, -3.4506], [-6.6311, -2.6961, 4.6542]],
  "species": ["Sn", "Cd", "Pd", "Cd", "Sn", "Pd", "Sn", "Sn"],
  "frac_coords": [[0.3442, 0.7153, 0.5489], [0.9371, 0.8763, 0.2500], [0.2320, 0.4495, 0.2500], [0.0629, 0.1237, 0.7500], [0.6558, 0.2847, 0.0489], [0.7680, 0.5505, 0.7500], [0.6558, 0.2847, 0.4511], [0.3442, 0.7153, 0.9511]],
  "magmom_total_mub_per_fu": 0.0
}

---

Volume? In order: 19.759, 18.404, 22.645 Å³/atom.
Density of states at the Fermi level? In order: 2.9, 2.3, 1.5 states/eV/f.u..
Energy relative to the elements? In order: -2.8, -2.4, -1.0 eV per formula unit.